Record 1
SrSi2Pb PBE relaxed; formation energy from raw total energies = -0.0090 eV per atom; total magnetic moment = 0.0000 μB/atom; E = -16.3 eV/cell; density of states at the Fermi level = 2.361 states/eV per cell
1.0
2.261 1.305 5.982
-2.261 1.305 5.982
0.000 -2.610 5.982
Sr Si Pb
1 2 1
Direct
0.000 0.000 0.000
0.220 0.220 0.220
0.555 0.555 0.555
0.803 0.803 0.803

***

Record 2
SrSiPb2 PBE relaxed; formation energy from raw total energies = 0.0472 eV per atom; total magnetic moment = 0.0000 μB/atom; E = -14.3 eV/cell; density of states at the Fermi level = 2.541 states/eV per cell
1.0
0.000 3.894 3.894
3.894 0.000 3.894
3.894 3.894 0.000
Sr Si Pb
1 1 2
Direct
0.000 0.000 0.000
0.750 0.750 0.750
0.250 0.250 0.250
0.500 0.500 0.500

***

Record 3
Sr2SiPb PBE relaxed; formation energy from raw total energies = -0.0355 eV per atom; total magnetic moment = 0.0001 μB/atom; E = -12.6 eV/cell; density of states at the Fermi level = 4.579 states/eV per cell
1.0
3.571 0.000 0.000
0.000 5.694 0.000
0.000 0.000 6.687
Sr Si Pb
2 1 1
Direct
0.000 0.000 0.000
0.500 0.500 0.500
0.000 0.000 0.500
0.500 0.500 0.000

***

Record 4
Sr2SiPb2 PBE relaxed; formation energy from raw total energies = -0.2365 eV per atom; total magnetic moment = 0.0000 μB/atom; E = -34.8 eV/cell; density of states at the Fermi level = 4.711 states/eV per cell
1.0
7.923 0.000 0.000
0.000 7.923 0.000
0.000 0.000 5.113
Sr Si Pb
4 2 4
Direct
0.170 0.330 0.000
0.330 0.830 0.000
0.670 0.170 0.000
0.830 0.670 0.000
0.000 0.000 0.500
0.500 0.500 0.500
0.141 0.641 0.500
0.359 0.141 0.500
0.641 0.859 0.500
0.859 0.359 0.500

***

Record 5
SrSi2Pb PBE relaxed; formation energy from raw total energies = 0.3819 eV per atom; total magnetic moment = 0.0000 μB/atom; E = -14.7 eV/cell; density of states at the Fermi level = 4.690 states/eV per cell
1.0
1.987 1.147 8.192
-1.987 1.147 8.192
0.000 -2.294 8.192
Sr Si Pb
1 2 1
Direct
0.000 0.000 0.000
0.240 0.240 0.240
0.760 0.760 0.760
0.500 0.500 0.500

***

Record 6
Sr2SiPb PBE relaxed; formation energy from raw total energies = 0.0022 eV per atom; total magnetic moment = 0.0000 μB/atom; E = -25.0 eV/cell; density of states at the Fermi level = 8.387 states/eV per cell
1.0
-4.418 4.418 3.486
4.418 -4.418 3.486
4.418 4.418 -3.486
Sr Si Pb
4 2 2
Direct
0.095 0.625 0.970
0.375 0.345 0.470
0.655 0.125 0.030
0.875 0.905 0.530
0.000 0.000 0.000
0.750 0.250 0.500
0.250 0.750 0.500
0.500 0.500 0.000

***

Record 7
SrSiPb2 PBE relaxed; formation energy from raw total energies = 0.0283 eV per atom; total magnetic moment = 0.0000 μB/atom; E = -14.4 eV/cell; density of states at the Fermi level = 1.432 states/eV per cell
1.0
3.584 0.000 0.000
0.000 5.429 0.000
-0.369 0.000 6.001
Sr Si Pb
1 1 2
Direct
0.000 0.000 0.000
0.500 0.000 0.500
0.354 0.500 0.737
0.646 0.500 0.263

***

Record 8
Sr2SiPb PBE relaxed; formation energy from raw total energies = -0.2775 eV per atom; total magnetic moment = 0.0000 μB/atom; E = -13.6 eV/cell; density of states at the Fermi level = 1.794 states/eV per cell
1.0
3.570 -4.661 0.000
3.570 4.661 0.000
0.000 0.000 3.663
Sr Si Pb
2 1 1
Direct
0.000 0.500 0.000
0.500 0.000 0.000
0.000 0.000 0.500
0.500 0.500 0.500

***

Record 9
Sr2SiPb PBE relaxed; formation energy from raw total energies = -0.3341 eV per atom; total magnetic moment = 0.0000 μB/atom; E = -13.8 eV/cell; density of states at the Fermi level = 2.434 states/eV per cell
1.0
3.630 0.000 0.000
0.000 3.630 0.000
0.000 0.000 9.305
Sr Si Pb
2 1 1
Direct
0.000 0.000 0.217
0.000 0.000 0.783
0.500 0.500 0.000
0.500 0.500 0.500

***

Record 10
SrSiPb2 PBE relaxed; formation energy from raw total energies = 0.0189 eV per atom; total magnetic moment = 0.0000 μB/atom; E = -14.4 eV/cell; density of states at the Fermi level = 2.220 states/eV per cell
1.0
4.009 0.000 0.000
0.000 4.009 0.000
0.000 0.000 7.163
Sr Si Pb
1 1 2
Direct
0.000 0.000 0.000
0.000 0.000 0.500
0.500 0.500 0.291
0.500 0.500 0.709

***

Record 11
SrSiPb2 PBE relaxed; formation energy from raw total energies = 0.1104 eV per atom; total magnetic moment = 0.0000 μB/atom; E = -14.1 eV/cell; density of states at the Fermi level = 2.085 states/eV per cell
1.0
2.177 1.257 7.980
-2.177 1.257 7.980
0.000 -2.514 7.980
Sr Si Pb
1 1 2
Direct
0.000 0.000 0.000
0.500 0.500 0.500
0.226 0.226 0.226
0.774 0.774 0.774

***

Record 12
SrSi2Pb PBE relaxed; formation energy from raw total energies = 0.3465 eV per atom; total magnetic moment = 0.0000 μB/atom; E = -14.9 eV/cell; density of states at the Fermi level = 2.927 states/eV per cell
1.0
0.000 3.706 3.706
3.706 0.000 3.706
3.706 3.706 0.000
Sr Si Pb
1 2 1
Direct
0.000 0.000 0.000
0.500 0.500 0.500
0.750 0.750 0.750
0.250 0.250 0.250

***

Record 13
SrSi2Pb PBE relaxed; formation energy from raw total energies = 0.1752 eV per atom; total magnetic moment = 0.0000 μB/atom; E = -15.5 eV/cell; density of states at the Fermi level = 1.232 states/eV per cell
1.0
-2.250 2.250 4.834
2.250 -2.250 4.834
2.250 2.250 -4.834
Sr Si Pb
1 2 1
Direct
0.000 0.000 0.000
0.500 0.500 0.000
0.750 0.250 0.500
0.250 0.750 0.500

***

Record 14
SrSi2Pb PBE relaxed; formation energy from raw total energies = -0.0526 eV per atom; total magnetic moment = 0.0000 μB/atom; E = -16.4 eV/cell; density of states at the Fermi level = 1.348 states/eV per cell
1.0
5.350 -1.928 0.000
5.350 1.928 0.000
-2.931 0.000 5.426
Sr Si Pb
1 2 1
Direct
0.000 0.000 0.000
0.253 0.253 0.626
0.747 0.747 0.374
0.500 0.500 0.500

***

Record 15
TaSiPb2 PBE relaxed; formation energy from raw total energies = 0.6764 eV per atom; total magnetic moment = 0.0000 μB/atom; E = -22.0 eV/cell; density of states at the Fermi level = 2.751 states/eV per cell
1.0
3.881 0.000 0.000
0.000 3.881 0.000
0.000 0.000 5.912
Ta Si Pb
1 1 2
Direct
0.000 0.000 0.000
0.000 0.000 0.500
0.500 0.500 0.250
0.500 0.500 0.750

***

Record 16
TaSiPb PBE relaxed; formation energy from raw total energies = 0.4342 eV per atom; total magnetic moment = 0.0000 μB/atom; E = -19.7 eV/cell; density of states at the Fermi level = 2.120 states/eV per cell
1.0
-1.495 1.495 7.098
1.495 -1.495 7.098
1.495 1.495 -7.098
Ta Si Pb
1 1 1
Direct
0.000 0.000 0.000
0.373 0.373 0.000
0.674 0.674 0.000

***

Record 17
TaSi2Pb PBE relaxed; formation energy from raw total energies = 0.3405 eV per atom; total magnetic moment = 0.0000 μB/atom; E = -25.0 eV/cell; density of states at the Fermi level = 4.956 states/eV per cell
1.0
1.539 0.888 9.823
-1.539 0.888 9.823
0.000 -1.777 9.823
Ta Si Pb
1 2 1
Direct
0.000 0.000 0.000
0.264 0.264 0.264
0.736 0.736 0.736
0.500 0.500 0.500

***

Record 18
Ta2SiPb PBE relaxed; formation energy from raw total energies = 0.3050 eV per atom; total magnetic moment = 0.0000 μB/atom; E = -31.6 eV/cell; density of states at the Fermi level = 1.685 states/eV per cell
1.0
2.991 0.000 0.000
0.000 4.907 0.000
-1.483 0.000 5.285
Ta Si Pb
2 1 1
Direct
0.000 0.000 0.000
0.373 0.500 0.765
0.280 0.000 0.566
0.640 0.500 0.289

***

Record 19
TaSi2Pb PBE relaxed; formation energy from raw total energies = 0.3212 eV per atom; total magnetic moment = 0.0000 μB/atom; E = -25.1 eV/cell; density of states at the Fermi level = 2.028 states/eV per cell
1.0
3.339 0.000 0.000
0.000 3.339 0.000
0.000 0.000 7.154
Ta Si Pb
1 2 1
Direct
0.000 0.000 0.000
0.000 0.000 0.648
0.500 0.500 0.836
0.500 0.500 0.311

***

Record 20
TaSiPb2 PBE relaxed; formation energy from raw total energies = 0.8769 eV per atom; total magnetic moment = 0.2419 μB/atom; E = -21.2 eV/cell; density of states at the Fermi level = 3.799 states/eV per cell
1.0
0.000 3.582 3.582
3.582 0.000 3.582
3.582 3.582 0.000
Ta Si Pb
1 1 2
Direct
0.000 0.000 0.000
0.250 0.250 0.250
0.500 0.500 0.500
0.750 0.750 0.750

***

| no. | mass density (g/cm3) |
| --- | --- |
| 1 | 5.50 |
| 2 | 7.46 |
| 3 | 5.01 |
| 4 | 6.39 |
| 5 | 5.20 |
| 6 | 5.01 |
| 7 | 7.54 |
| 8 | 5.59 |
| 9 | 5.56 |
| 10 | 7.64 |
| 11 | 6.72 |
| 12 | 5.72 |
| 13 | 5.95 |
| 14 | 5.21 |
| 15 | 11.62 |
| 16 | 10.89 |
| 17 | 9.16 |
| 18 | 12.78 |
| 19 | 9.25 |
| 20 | 11.26 |